Nb2Al2Tl PBE optimized geometry; total energy = -5.896 eV per atom; excess energy over the best structure of this formula in the dataset = 0.00 eV/f.u.; ΔH_f (0 K) = 0.103 eV/atom
1.0
7.533 0.000 0.000
0.000 7.533 0.000
0.000 0.000 3.435
Nb Tl Al
4 2 4
Direct
0.623 0.123 0.000
0.377 0.877 0.000
0.877 0.623 0.000
0.123 0.377 0.000
0.500 0.500 0.000
0.000 0.000 0.000
0.173 0.673 0.500
0.327 0.173 0.500
0.827 0.327 0.500
0.673 0.827 0.500